Arrangement 1

Below is NpUP2 after structural relaxation, with properties calculated at the GGA-PBE level. Values from VASP.

- Theoretical density: 10.221 Mg/m³
- D(E_F): 2.727 states/eV/atom
- Total magnetic moment: 17.8 Bohr magnetons per cell

```
&SYSTEM
  ibrav = 0, nat = 12, ntyp = 3
/
ATOMIC_SPECIES
Np 237.00 Np.upf
U 238.03 U.upf
P 30.97 P.upf
ATOMIC_POSITIONS angstrom
Np 0.000 0.000 0.000
Np 0.000 2.289 12.814
Np 1.983 1.145 6.407
U 0.000 0.000 9.610
U 0.000 2.289 3.203
U 1.983 1.145 16.017
P 0.000 0.000 4.802
P 0.000 0.000 14.419
P 0.000 2.289 8.012
P 0.000 2.289 17.616
P 1.983 1.145 1.605
P 1.983 1.145 11.209
CELL_PARAMETERS angstrom
3.965 0.000 0.000
-1.983 3.434 0.000
0.000 0.000 19.221
```

Arrangement 2

Below is NpUP2 after structural relaxation, with properties calculated at the GGA-PBE level. Values from VASP.

- Theoretical density: 11.486 Mg/m³
- D(E_F): 2.377 states/eV/atom
- Total magnetic moment: 6.6 Bohr magnetons per cell

```
&SYSTEM
  ibrav = 0, nat = 4, ntyp = 3
/
ATOMIC_SPECIES
Np 237.00 Np.upf
U 238.03 U.upf
P 30.97 P.upf
ATOMIC_POSITIONS angstrom
Np 0.000 0.000 0.000
U 0.000 0.000 3.382
P 1.694 1.694 1.708
P 1.694 1.694 5.057
CELL_PARAMETERS angstrom
3.388 0.000 0.000
0.000 3.388 0.000
0.000 0.000 6.765
```

Q: Which of them is the most stable? A: arrangement 1.

Arrangement 1

Below is NpVP2 after structural relaxation, with properties calculated at the GGA-PBE level. Values from VASP.

- Theoretical density: 8.427 Mg/m³
- D(E_F): 1.986 states/eV/atom
- Total magnetic moment: 10.5 Bohr magnetons per cell

```
&SYSTEM
  ibrav = 0, nat = 12, ntyp = 3
/
ATOMIC_SPECIES
Np 237.00 Np.upf
V 50.94 V.upf
P 30.97 P.upf
ATOMIC_POSITIONS angstrom
Np 0.000 0.000 0.000
Np 0.000 2.128 11.726
Np 1.842 1.064 5.863
V 0.000 0.000 8.795
V 0.000 2.128 2.932
V 1.842 1.064 14.658
P 0.000 0.000 4.174
P 0.000 0.000 13.415
P 0.000 2.128 7.552
P 0.000 2.128 15.901
P 1.842 1.064 1.689
P 1.842 1.064 10.038
CELL_PARAMETERS angstrom
3.685 0.000 0.000
-1.842 3.191 0.000
0.000 0.000 17.589
```

Arrangement 2

Below is NpVP2 after structural relaxation, with properties calculated at the GGA-PBE level. Values from VASP.

- Theoretical density: 9.226 Mg/m³
- D(E_F): 1.517 states/eV/atom
- Total magnetic moment: 4.1 Bohr magnetons per cell

```
&SYSTEM
  ibrav = 0, nat = 4, ntyp = 3
/
ATOMIC_SPECIES
Np 237.00 Np.upf
V 50.94 V.upf
P 30.97 P.upf
ATOMIC_POSITIONS angstrom
Np 0.000 0.000 0.000
V 0.000 0.000 3.287
P 1.547 1.547 1.965
P 1.547 1.547 4.609
CELL_PARAMETERS angstrom
3.095 0.000 0.000
0.000 3.095 0.000
0.000 0.000 6.574
```

Q: Which of them is the most stable? A: arrangement 1.

Arrangement 1

Below is NpV2P after structural relaxation, with properties calculated at the GGA-PBE level. Values from VASP.

- Theoretical density: 10.643 Mg/m³
- D(E_F): 1.714 states/eV/atom
- Total magnetic moment: 1.1 Bohr magnetons per cell

```
&SYSTEM
  ibrav = 0, nat = 4, ntyp = 3
/
ATOMIC_SPECIES
Np 237.00 Np.upf
V 50.94 V.upf
P 30.97 P.upf
ATOMIC_POSITIONS angstrom
Np 0.000 0.000 0.000
V 0.000 2.049 1.719
V 2.049 0.000 1.719
P 2.049 2.049 0.000
CELL_PARAMETERS angstrom
4.097 0.000 0.000
0.000 4.097 0.000
0.000 0.000 3.438
```

Arrangement 2

Below is NpV2P after structural relaxation, with properties calculated at the GGA-PBE level. Values from VASP.

- Theoretical density: 10.504 Mg/m³
- D(E_F): 2.474 states/eV/atom
- Total magnetic moment: 12.9 Bohr magnetons per cell

```
&SYSTEM
  ibrav = 0, nat = 16, ntyp = 3
/
ATOMIC_SPECIES
Np 237.00 Np.upf
V 50.94 V.upf
P 30.97 P.upf
ATOMIC_POSITIONS angstrom
Np 0.000 0.000 0.000
Np 0.000 3.081 3.081
Np 3.081 0.000 3.081
Np 3.081 3.081 0.000
V 1.540 1.540 1.540
V 1.540 1.540 4.621
V 1.540 4.621 1.540
V 1.540 4.621 4.621
V 4.621 1.540 1.540
V 4.621 1.540 4.621
V 4.621 4.621 1.540
V 4.621 4.621 4.621
P 0.000 0.000 3.081
P 0.000 3.081 0.000
P 3.081 0.000 0.000
P 3.081 3.081 3.081
CELL_PARAMETERS angstrom
6.161 0.000 0.000
0.000 6.161 0.000
0.000 0.000 6.161
```

Q: Which of them is the most stable? A: arrangement 1.

Arrangement 1

Below is YNpP2 after structural relaxation, with properties calculated at the GGA-PBE level. Values from VASP.

- Theoretical density: 7.215 Mg/m³
- D(E_F): 2.141 states/eV/atom
- Total magnetic moment: 11.0 Bohr magnetons per cell

```
&SYSTEM
  ibrav = 0, nat = 12, ntyp = 3
/
ATOMIC_SPECIES
Y 88.91 Y.upf
Np 237.00 Np.upf
P 30.97 P.upf
ATOMIC_POSITIONS angstrom
Y 0.000 0.000 0.000
Y 0.000 2.298 13.007
Y 1.991 1.149 6.503
Np 0.000 0.000 9.755
Np 0.000 2.298 3.252
Np 1.991 1.149 16.259
P 0.000 0.000 4.830
P 0.000 0.000 14.680
P 0.000 2.298 8.177
P 0.000 2.298 17.837
P 1.991 1.149 1.673
P 1.991 1.149 11.334
CELL_PARAMETERS angstrom
3.981 0.000 0.000
-1.991 3.448 0.000
0.000 0.000 19.510
```

Arrangement 2

Below is YNpP2 after structural relaxation, with properties calculated at the GGA-PBE level. Values from VASP.

- Theoretical density: 7.095 Mg/m³
- D(E_F): 1.575 states/eV/atom
- Total magnetic moment: 11.7 Bohr magnetons per cell

```
&SYSTEM
  ibrav = 0, nat = 12, ntyp = 3
/
ATOMIC_SPECIES
Y 88.91 Y.upf
Np 237.00 Np.upf
P 30.97 P.upf
ATOMIC_POSITIONS angstrom
Y 0.000 0.000 0.000
Y 0.000 2.234 14.004
Y 1.935 1.117 7.002
Np 0.000 0.000 17.402
Np 0.000 2.234 10.400
Np 1.935 1.117 3.398
P 0.000 0.000 8.683
P 0.000 0.000 12.200
P 0.000 2.234 1.681
P 0.000 2.234 5.198
P 1.935 1.117 15.684
P 1.935 1.117 19.202
CELL_PARAMETERS angstrom
3.869 0.000 0.000
-1.935 3.351 0.000
0.000 0.000 21.006
```

Q: Which of them is the most stable? A: arrangement 1.

Arrangement 1

Below is ZrNpP2 after structural relaxation, with properties calculated at the GGA-PBE level. Values from VASP.

- Theoretical density: 8.091 Mg/m³
- D(E_F): 2.182 states/eV/atom
- Total magnetic moment: 10.9 Bohr magnetons per cell

```
&SYSTEM
  ibrav = 0, nat = 12, ntyp = 3
/
ATOMIC_SPECIES
Zr 91.22 Zr.upf
Np 237.00 Np.upf
P 30.97 P.upf
ATOMIC_POSITIONS angstrom
Zr 0.000 0.000 0.000
Zr 0.000 2.215 12.559
Zr 1.919 1.108 6.279
Np 0.000 0.000 9.419
Np 0.000 2.215 3.140
Np 1.919 1.108 15.698
P 0.000 0.000 4.770
P 0.000 0.000 14.068
P 0.000 2.215 7.789
P 0.000 2.215 17.329
P 1.919 1.108 1.509
P 1.919 1.108 11.049
CELL_PARAMETERS angstrom
3.837 0.000 0.000
-1.919 3.323 0.000
0.000 0.000 18.838
```

Arrangement 2

Below is ZrNpP2 after structural relaxation, with properties calculated at the GGA-PBE level. Values from VASP.

- Theoretical density: 8.006 Mg/m³
- D(E_F): 1.357 states/eV/atom
- Total magnetic moment: 11.7 Bohr magnetons per cell

```
&SYSTEM
  ibrav = 0, nat = 12, ntyp = 3
/
ATOMIC_SPECIES
Zr 91.22 Zr.upf
Np 237.00 Np.upf
P 30.97 P.upf
ATOMIC_POSITIONS angstrom
Zr 0.000 0.000 0.000
Zr 0.000 2.134 13.675
Zr 1.848 1.067 6.838
Np 0.000 0.000 16.960
Np 0.000 2.134 10.122
Np 1.848 1.067 3.285
P 0.000 0.000 8.376
P 0.000 0.000 12.025
P 0.000 2.134 1.538
P 0.000 2.134 5.188
P 1.848 1.067 15.213
P 1.848 1.067 18.863
CELL_PARAMETERS angstrom
3.697 0.000 0.000
-1.848 3.202 0.000
0.000 0.000 20.513
```

Q: Which of them is the most stable? A: arrangement 1.

Arrangement 1

Below is NpPa2Pb after structural relaxation, with properties calculated at the GGA-PBE level. Values from VASP.

- Theoretical density: 15.310 Mg/m³
- D(E_F): 2.415 states/eV/atom
- Total magnetic moment: 0.0 Bohr magnetons per cell

```
&SYSTEM
  ibrav = 0, nat = 12, ntyp = 3
/
ATOMIC_SPECIES
Np 237.00 Np.upf
Pa 231.04 Pa.upf
Pb 207.20 Pb.upf
ATOMIC_POSITIONS angstrom
Np 0.000 0.000 0.000
Np 0.000 2.126 16.743
Np 1.841 1.063 8.371
Pa 0.000 0.000 6.776
Pa 0.000 0.000 18.338
Pa 0.000 2.126 9.967
Pa 0.000 2.126 23.518
Pa 1.841 1.063 1.596
Pa 1.841 1.063 15.147
Pb 0.000 0.000 12.557
Pb 0.000 2.126 4.186
Pb 1.841 1.063 20.928
CELL_PARAMETERS angstrom
3.682 0.000 0.000
-1.841 3.189 0.000
0.000 0.000 25.114
```

Arrangement 2

Below is NpPa2Pb after structural relaxation, with properties calculated at the GGA-PBE level. Values from VASP.

- Theoretical density: 14.990 Mg/m³
- D(E_F): 3.227 states/eV/atom
- Total magnetic moment: 4.5 Bohr magnetons per cell

```
&SYSTEM
  ibrav = 0, nat = 4, ntyp = 3
/
ATOMIC_SPECIES
Np 237.00 Np.upf
Pa 231.04 Pa.upf
Pb 207.20 Pb.upf
ATOMIC_POSITIONS angstrom
Np 0.000 0.000 0.000
Pa 0.000 2.349 2.273
Pa 2.349 0.000 2.273
Pb 2.349 2.349 0.000
CELL_PARAMETERS angstrom
4.699 0.000 0.000
0.000 4.699 0.000
0.000 0.000 4.547
```

Q: Which of them is the most stable? A: arrangement 2.